[1]
# NaSnTe3 (PBE, relaxed)
# - energy relative to the lowest polymorph listed for this composition (eV per atom) = 0.000
# - SG = P2_1/m, No. 11
# - formation energy without anion corrections (eV/atom) = -0.2682
data_NaSnTe3
_symmetry_space_group_name_H-M 'P 1'
_symmetry_Int_Tables_number 1
_cell_length_a 5.982
_cell_length_b 7.326
_cell_length_c 8.559
_cell_angle_alpha 90.00
_cell_angle_beta 103.83
_cell_angle_gamma 90.00
loop_
_symmetry_equiv_pos_as_xyz
'x,y,z'
loop_
_atom_site_label
_atom_site_fract_x
_atom_site_fract_y
_atom_site_fract_z
Na1 0.103 0.250 0.227
Na2 0.897 0.750 0.773
Sn1 0.254 0.250 0.843
Sn2 0.746 0.750 0.157
Te1 0.230 0.750 0.112
Te2 0.233 0.000 0.566
Te3 0.233 0.500 0.566
Te4 0.767 0.000 0.434
Te5 0.767 0.500 0.434
Te6 0.770 0.250 0.888

---

[2]
# Sr3Pb2N (PBE, relaxed)
# - SG = R-3m, No. 166
# - formation energy without anion corrections (eV/atom) = -0.2941
data_Sr3Pb2N
_symmetry_space_group_name_H-M 'P 1'
_symmetry_Int_Tables_number 1
_cell_length_a 5.738
_cell_length_b 5.738
_cell_length_c 5.738
_cell_angle_alpha 80.96
_cell_angle_beta 80.96
_cell_angle_gamma 80.96
loop_
_symmetry_equiv_pos_as_xyz
'x,y,z'
loop_
_atom_site_label
_atom_site_fract_x
_atom_site_fract_y
_atom_site_fract_z
Sr1 0.000 0.500 0.500
Sr2 0.500 0.000 0.500
Sr3 0.500 0.500 0.000
Pb1 0.120 0.120 0.120
Pb2 0.880 0.880 0.880
N1 0.500 0.500 0.500

---

Electronic total energy? In order: -3.218; -3.759 eV per atom.
D(E_F)? In order: 1.29; 3.52 states/eV per cell.
Total magnetization? In order: 0.00; 0.00 μB per atom.